# NaTaP2Cl, optimized geometry, DFT PBE
data_NaTaP2Cl
_chemical_formula_sum 'Na1 Ta1 P2 Cl1'
_cell_length_a 4.818
_cell_length_b 4.818
_cell_length_c 5.112
_cell_angle_alpha 90.00
_cell_angle_beta 90.00
_cell_angle_gamma 90.00
_space_group_name_H-M_alt 'P 1'
_space_group_IT_number 1
loop_
_space_group_symop_operation_xyz
'x,y,z'
loop_
_atom_site_label
_atom_site_fract_x
_atom_site_fract_y
_atom_site_fract_z
Cl1 0.000 0.000 0.500
P1 0.500 0.000 0.000
P2 0.000 0.500 0.000
Ta1 0.000 0.000 0.000
Na1 0.500 0.500 0.500
# Offset from the most stable computed form (kcal/mol of atoms): 0.00
# M_tot (μB per cell): 0.107
# Raw formation energy (meV/atom): -358
# Space-group type: No. 123

***

# NaTaPCl2, optimized geometry, DFT PBE
data_NaTaPCl2
_chemical_formula_sum 'Na1 Ta1 P1 Cl2'
_cell_length_a 4.943
_cell_length_b 4.943
_cell_length_c 4.871
_cell_angle_alpha 90.00
_cell_angle_beta 90.00
_cell_angle_gamma 90.00
_space_group_name_H-M_alt 'P 1'
_space_group_IT_number 1
loop_
_space_group_symop_operation_xyz
'x,y,z'
loop_
_atom_site_label
_atom_site_fract_x
_atom_site_fract_y
_atom_site_fract_z
P1 0.000 0.000 0.500
Cl1 0.000 0.500 0.000
Cl2 0.500 0.000 0.000
Ta1 0.000 0.000 0.000
Na1 0.500 0.500 0.500
# Offset from the most stable computed form (kcal/mol of atoms): 0.00
# M_tot (μB per cell): 0.120
# Raw formation energy (meV/atom): -625
# Space-group type: No. 123

***

Please write out number 1 again, unchanged.
# NaTaP2Cl, optimized geometry, DFT PBE
data_NaTaP2Cl
_chemical_formula_sum 'Na1 Ta1 P2 Cl1'
_cell_length_a 4.818
_cell_length_b 4.818
_cell_length_c 5.112
_cell_angle_alpha 90.00
_cell_angle_beta 90.00
_cell_angle_gamma 90.00
_space_group_name_H-M_alt 'P 1'
_space_group_IT_number 1
loop_
_space_group_symop_operation_xyz
'x,y,z'
loop_
_atom_site_label
_atom_site_fract_x
_atom_site_fract_y
_atom_site_fract_z
Cl1 0.000 0.000 0.500
P1 0.500 0.000 0.000
P2 0.000 0.500 0.000
Ta1 0.000 0.000 0.000
Na1 0.500 0.500 0.500
# Offset from the most stable computed form (kcal/mol of atoms): 0.00
# M_tot (μB per cell): 0.107
# Raw formation energy (meV/atom): -358
# Space-group type: No. 123

***

Question: Number 2 is which compound?
Answer: NaTaPCl2